[1]
Compound: In2TeBr
Source: Alexandria
Functional: PBE
Structure: optimized geometry

a = 4.563 Å, b = 4.563 Å, c = 7.851 Å
α = 106.54°, β = 106.54°, γ = 60.10°
Fractional coordinates of all 4 atoms:
In (0.244, 0.244, 0.236)
In (0.756, 0.756, 0.764)
Te (0.500, 0.500, 0.000)
Br (0.000, 0.000, 0.500)

Results
As for the formation energy without anion corrections: -386 meV/atom. The crystal system is monoclinic. As for the calculated density: 5.4 g/cm3.

---

[2]
Compound: Sn2SbPb2
Source: Alexandria
Functional: PBE
Structure: optimized geometry

a = 8.243 Å, b = 8.243 Å, c = 7.019 Å
α = 97.82°, β = 97.82°, γ = 135.57°
Fractional coordinates of all 10 atoms:
Sn (0.221, 0.221, 0.188)
Sn (0.250, 0.250, 0.656)
Sn (0.750, 0.750, 0.344)
Sn (0.779, 0.779, 0.812)
Sb (0.361, 0.639, 0.000)
Sb (0.639, 0.361, 0.000)
Pb (0.128, 0.741, 0.711)
Pb (0.259, 0.872, 0.289)
Pb (0.741, 0.128, 0.711)
Pb (0.872, 0.259, 0.289)

Results
As for the formation energy without anion corrections: 98 meV/atom. The crystal system is monoclinic. As for the calculated density: 8.2 g/cm3.

---

[3]
Compound: BaGaAg2
Source: Alexandria
Functional: PBE
Structure: optimized geometry

a = 8.677 Å, b = 7.390 Å, c = 6.339 Å
α = 90.00°, β = 90.00°, γ = 90.00°
Fractional coordinates of all 16 atoms:
Ba (0.034, 0.250, 0.141)
Ba (0.466, 0.750, 0.641)
Ba (0.534, 0.250, 0.359)
Ba (0.966, 0.750, 0.859)
Ga (0.130, 0.750, 0.360)
Ga (0.370, 0.250, 0.860)
Ga (0.630, 0.750, 0.140)
Ga (0.870, 0.250, 0.640)
Ag (0.173, 0.059, 0.594)
Ag (0.173, 0.441, 0.594)
Ag (0.327, 0.559, 0.094)
Ag (0.327, 0.941, 0.094)
Ag (0.673, 0.059, 0.906)
Ag (0.673, 0.441, 0.906)
Ag (0.827, 0.559, 0.406)
Ag (0.827, 0.941, 0.406)

Results
For the formation energy, the calculation gives -96 kJ/mol of formula units. The crystal system is orthorhombic. As for the calculated density: 6.9 g/cm3.

---

[4]
Compound: HfSbTe2N
Source: Alexandria
Functional: PBE
Structure: optimized geometry

a = 4.779 Å, b = 4.779 Å, c = 4.659 Å
α = 90.00°, β = 90.00°, γ = 90.00°
Fractional coordinates of all 5 atoms:
Hf (0.000, 0.000, 0.000)
Sb (0.500, 0.500, 0.000)
Te (0.000, 0.500, 0.500)
Te (0.500, 0.000, 0.500)
N (0.500, 0.500, 0.500)

Results
As for the formation energy without anion corrections: 468 meV/atom. The crystal system is tetragonal. As for the calculated density: 8.9 g/cm3.

---

[5]
Compound: Pm3CuSi4
Source: Alexandria
Functional: PBE
Structure: optimized geometry

a = 8.207 Å, b = 8.207 Å, c = 8.207 Å
α = 148.47°, β = 139.95°, γ = 51.84°
Fractional coordinates of all 8 atoms:
Pm (0.000, 0.000, 0.000)
Pm (0.307, 0.807, 0.500)
Pm (0.693, 0.193, 0.500)
Cu (0.500, 0.500, 0.000)
Si (0.096, 0.383, 0.713)
Si (0.330, 0.617, 0.713)
Si (0.670, 0.383, 0.287)
Si (0.904, 0.617, 0.287)

Results
As for the formation energy without anion corrections: -505 meV/atom. The crystal system is orthorhombic. As for the calculated density: 5.5 g/cm3.

---

[6]
Compound: HfNb4W
Source: Alexandria
Functional: PBE
Structure: optimized geometry

a = 5.436 Å, b = 5.436 Å, c = 5.436 Å
α = 60.00°, β = 60.00°, γ = 60.00°
Fractional coordinates of all 6 atoms:
Hf (0.000, 0.000, 0.000)
Nb (0.125, 0.625, 0.625)
Nb (0.625, 0.125, 0.625)
Nb (0.625, 0.625, 0.125)
Nb (0.625, 0.625, 0.625)
W (0.250, 0.250, 0.250)

Results
For the formation energy, the calculation gives 98 kJ/mol of formula units. The crystal system is cubic. As for the calculated density: 10.7 g/cm3.